# Na4GePt2Pb

An optimized crystal structure of Na4GePt2Pb (PBE-GGA, the Open Quantum Materials Database).

Geometry as POSCAR:
```
Na4GePt2Pb
1.0
-0.573 -4.594 1.045
4.569 -0.799 -1.007
1.702 1.309 6.687
Ge Na Pb Pt
1 4 1 2
Direct
0.000 0.000 0.000
0.500 0.500 0.000
0.000 0.500 0.229
0.000 0.000 0.500
0.500 0.000 0.771
0.500 0.500 0.500
0.500 0.000 0.224
0.000 0.500 0.776
```

Computed properties:
The value obtained for the total magnetic moment is 0.0 μB per formula unit. The total energy is -3.388 eV per atom.